[1]
First-principles (PBE) data for a relaxed Sm12Tc3H5 crystal, as listed in Alexandria via LeMat-Bulk.

Properties
uncorrected energy: -5.359 eV/atom

a b c (Å): 13.3738 13.3738 13.3738
angles (deg): 109.47 109.47 109.47
Sites, in units of the cell vectors:
Sm (0.0299, 0.2175, 0.1227)
Sm (0.0299, 0.3123, 0.9071)
Sm (0.0929, 0.6227, 0.4052)
Sm (0.0929, 0.9701, 0.6877)
Sm (0.0948, 0.7175, 0.6877)
Sm (0.0948, 0.8773, 0.4071)
Sm (0.1227, 0.0299, 0.2175)
Sm (0.1227, 0.5929, 0.9052)
Sm (0.1877, 0.2175, 0.5948)
Sm (0.1877, 0.4701, 0.5929)
Sm (0.2175, 0.1227, 0.0299)
Sm (0.2175, 0.5948, 0.1877)
Sm (0.2825, 0.3123, 0.9052)
Sm (0.2825, 0.4701, 0.3773)
Sm (0.3123, 0.9052, 0.2825)
Sm (0.3123, 0.9071, 0.0299)
Sm (0.3773, 0.2825, 0.4701)
Sm (0.3773, 0.5948, 0.9071)
Sm (0.4052, 0.0929, 0.6227)
Sm (0.4052, 0.8123, 0.7825)
Sm (0.4071, 0.0948, 0.8773)
Sm (0.4071, 0.8123, 0.5299)
Sm (0.4701, 0.3773, 0.2825)
Sm (0.4701, 0.5929, 0.1877)
Sm (0.5299, 0.4071, 0.8123)
Sm (0.5299, 0.6227, 0.7175)
Sm (0.5929, 0.1877, 0.4701)
Sm (0.5929, 0.9052, 0.1227)
Sm (0.5948, 0.1877, 0.2175)
Sm (0.5948, 0.9071, 0.3773)
Sm (0.6227, 0.4052, 0.0929)
Sm (0.6227, 0.7175, 0.5299)
Sm (0.6877, 0.0929, 0.9701)
Sm (0.6877, 0.0948, 0.7175)
Sm (0.7175, 0.5299, 0.6227)
Sm (0.7175, 0.6877, 0.0948)
Sm (0.7825, 0.4052, 0.8123)
Sm (0.7825, 0.8773, 0.9701)
Sm (0.8123, 0.5299, 0.4071)
Sm (0.8123, 0.7825, 0.4052)
Sm (0.8773, 0.4071, 0.0948)
Sm (0.8773, 0.9701, 0.7825)
Sm (0.9052, 0.1227, 0.5929)
Sm (0.9052, 0.2825, 0.3123)
Sm (0.9071, 0.0299, 0.3123)
Sm (0.9071, 0.3773, 0.5948)
Sm (0.9701, 0.6877, 0.0929)
Sm (0.9701, 0.7825, 0.8773)
Tc (0.1250, 0.2500, 0.3750)
Tc (0.1250, 0.3750, 0.7500)
Tc (0.2500, 0.3750, 0.1250)
Tc (0.2500, 0.8750, 0.6250)
Tc (0.3750, 0.1250, 0.2500)
Tc (0.3750, 0.7500, 0.1250)
Tc (0.6250, 0.2500, 0.8750)
Tc (0.6250, 0.8750, 0.7500)
Tc (0.7500, 0.1250, 0.3750)
Tc (0.7500, 0.6250, 0.8750)
Tc (0.8750, 0.6250, 0.2500)
Tc (0.8750, 0.7500, 0.6250)
H (0.0000, 0.0000, 0.0000)
H (0.0000, 0.0000, 0.5000)
H (0.0000, 0.5000, 0.0000)
H (0.0000, 0.5000, 0.5000)
H (0.1250, 0.7500, 0.8750)
H (0.1250, 0.8750, 0.2500)
H (0.2500, 0.1250, 0.8750)
H (0.2500, 0.6250, 0.3750)
H (0.3750, 0.2500, 0.6250)
H (0.3750, 0.6250, 0.7500)
H (0.5000, 0.0000, 0.0000)
H (0.5000, 0.0000, 0.5000)
H (0.5000, 0.5000, 0.0000)
H (0.5000, 0.5000, 0.5000)
H (0.6250, 0.3750, 0.2500)
H (0.6250, 0.7500, 0.3750)
H (0.7500, 0.3750, 0.6250)
H (0.7500, 0.8750, 0.1250)
H (0.8750, 0.1250, 0.7500)
H (0.8750, 0.2500, 0.1250)

[2]
First-principles (PBE) data for a relaxed Sm5Te4H crystal, as listed in Alexandria via LeMat-Bulk.

Properties
uncorrected energy: -5.073 eV/atom

a b c (Å): 15.6607 15.6607 15.6607
angles (deg): 164.17 164.17 22.45
Sites, in units of the cell vectors:
Sm (0.0000, 0.0000, 0.0000)
Sm (0.2087, 0.2087, 0.0000)
Sm (0.4246, 0.4246, 0.0000)
Sm (0.5754, 0.5754, 0.0000)
Sm (0.7913, 0.7913, 0.0000)
Te (0.1014, 0.1014, 0.0000)
Te (0.3119, 0.3119, 0.0000)
Te (0.6881, 0.6881, 0.0000)
Te (0.8986, 0.8986, 0.0000)
H (0.5000, 0.5000, 0.0000)

[3]
First-principles (PBE) data for a relaxed Sm5Te5H2 crystal, as listed in Alexandria via LeMat-Bulk.

Properties
uncorrected energy: -4.911 eV/atom

a b c (Å): 7.3230 7.3230 10.9557
angles (deg): 99.14 99.14 32.58
Sites, in units of the cell vectors:
Sm (0.0000, 0.0000, 0.0000)
Sm (0.1038, 0.1038, 0.3377)
Sm (0.3431, 0.3431, 0.2013)
Sm (0.6569, 0.6569, 0.7987)
Sm (0.8962, 0.8962, 0.6623)
Te (0.2202, 0.2202, 0.6129)
Te (0.3375, 0.3375, 0.9065)
Te (0.5000, 0.5000, 0.5000)
Te (0.6625, 0.6625, 0.0935)
Te (0.7798, 0.7798, 0.3871)
H (0.0527, 0.0527, 0.8073)
H (0.9473, 0.9473, 0.1927)

[4]
First-principles (PBE) data for a relaxed Sm4Te5H2 crystal, as listed in Alexandria via LeMat-Bulk.

Properties
uncorrected energy: -4.834 eV/atom

a b c (Å): 9.5205 9.5205 8.2033
angles (deg): 97.00 97.00 26.37
Sites, in units of the cell vectors:
Sm (0.0331, 0.0331, 0.2510)
Sm (0.2925, 0.2925, 0.7823)
Sm (0.7075, 0.7075, 0.2177)
Sm (0.9669, 0.9669, 0.7490)
Te (0.1369, 0.1369, 0.9534)
Te (0.1728, 0.1728, 0.4670)
Te (0.5000, 0.5000, 0.5000)
Te (0.8272, 0.8272, 0.5330)
Te (0.8631, 0.8631, 0.0466)
H (0.4181, 0.4181, 0.7963)
H (0.5819, 0.5819, 0.2037)

[5]
First-principles (PBE) data for a relaxed Sm3Te3H2 crystal, as listed in Alexandria via LeMat-Bulk.

Properties
uncorrected energy: -4.924 eV/atom

a b c (Å): 6.0281 6.0281 16.4422
angles (deg): 90.00 90.00 140.45
Sites, in units of the cell vectors:
Sm (0.1270, 0.8730, 0.7500)
Sm (0.1508, 0.8492, 0.0618)
Sm (0.1508, 0.8492, 0.4382)
Sm (0.8492, 0.1508, 0.5618)
Sm (0.8492, 0.1508, 0.9382)
Sm (0.8730, 0.1270, 0.2500)
Te (0.1614, 0.8386, 0.2500)
Te (0.4361, 0.5639, 0.1040)
Te (0.4361, 0.5639, 0.3960)
Te (0.5639, 0.4361, 0.6040)
Te (0.5639, 0.4361, 0.8960)
Te (0.8386, 0.1614, 0.7500)
H (0.2685, 0.7315, 0.5496)
H (0.2685, 0.7315, 0.9504)
H (0.7315, 0.2685, 0.0496)
H (0.7315, 0.2685, 0.4504)

[6]
First-principles (PBE) data for a relaxed Sm2Te3H crystal, as listed in Alexandria via LeMat-Bulk.

Properties
uncorrected energy: -4.609 eV/atom

a b c (Å): 8.4947 8.4947 11.3899
angles (deg): 114.81 114.81 30.66
Sites, in units of the cell vectors:
Sm (0.0991, 0.0991, 0.4473)
Sm (0.3544, 0.3544, 0.1820)
Sm (0.6456, 0.6456, 0.8180)
Sm (0.9009, 0.9009, 0.5527)
Te (0.1429, 0.1429, 0.9953)
Te (0.2708, 0.2708, 0.3752)
Te (0.4440, 0.4440, 0.7609)
Te (0.5560, 0.5560, 0.2391)
Te (0.7292, 0.7292, 0.6248)
Te (0.8571, 0.8571, 0.0047)
H (0.0580, 0.0580, 0.6221)
H (0.9420, 0.9420, 0.3779)

[7]
First-principles (PBE) data for a relaxed Sm2TeH4 crystal, as listed in Alexandria via LeMat-Bulk.

Properties
uncorrected energy: -4.552 eV/atom

a b c (Å): 8.0124 8.0124 8.0124
angles (deg): 28.44 28.44 28.44
Sites, in units of the cell vectors:
Sm (0.2373, 0.2373, 0.2373)
Sm (0.7627, 0.7627, 0.7627)
Te (0.0000, 0.0000, 0.0000)
H (0.1373, 0.1373, 0.1373)
H (0.4353, 0.4353, 0.4353)
H (0.5647, 0.5647, 0.5647)
H (0.8627, 0.8627, 0.8627)

[8]
First-principles (PBE) data for a relaxed Sm4Te3H crystal, as listed in Alexandria via LeMat-Bulk.

Properties
uncorrected energy: -4.886 eV/atom

a b c (Å): 9.6754 8.3861 6.2208
angles (deg): 90.00 90.00 90.00
Sites, in units of the cell vectors:
Sm (0.0000, 0.1214, 0.0000)
Sm (0.0000, 0.8698, 0.5037)
Sm (0.1923, 0.2686, 0.5074)
Sm (0.3077, 0.7314, 0.0074)
Sm (0.5000, 0.1302, 0.0037)
Sm (0.5000, 0.8786, 0.5000)
Sm (0.6923, 0.7314, 0.0074)
Sm (0.8077, 0.2686, 0.5074)
Te (0.0000, 0.7601, 0.0047)
Te (0.2402, 0.3572, 0.0064)
Te (0.2598, 0.6428, 0.5064)
Te (0.5000, 0.2399, 0.5047)
Te (0.7402, 0.6428, 0.5064)
Te (0.7598, 0.3572, 0.0064)
H (0.0000, 0.1346, 0.3699)
H (0.5000, 0.8654, 0.8699)

[9]
First-principles (PBE) data for a relaxed SmTeH crystal, as listed in Alexandria via LeMat-Bulk.

Properties
uncorrected energy: -4.806 eV/atom

a b c (Å): 6.1016 3.9772 10.8242
angles (deg): 90.00 90.00 90.00
Sites, in units of the cell vectors:
Sm (0.1722, 0.2500, 0.1152)
Sm (0.3278, 0.7500, 0.6152)
Sm (0.6722, 0.2500, 0.3848)
Sm (0.8278, 0.7500, 0.8848)
Te (0.0902, 0.7500, 0.3485)
Te (0.4098, 0.2500, 0.8485)
Te (0.5902, 0.7500, 0.1515)
Te (0.9098, 0.2500, 0.6515)
H (0.0878, 0.7500, 0.0312)
H (0.4122, 0.2500, 0.5312)
H (0.5878, 0.7500, 0.4688)
H (0.9122, 0.2500, 0.9688)

[10]
First-principles (PBE) data for a relaxed Sm4Te2H crystal, as listed in Alexandria via LeMat-Bulk.

Properties
uncorrected energy: -4.859 eV/atom

a b c (Å): 8.1032 8.1032 7.0268
angles (deg): 115.69 115.69 28.88
Sites, in units of the cell vectors:
Sm (0.1011, 0.1011, 0.2589)
Sm (0.3992, 0.3992, 0.2230)
Sm (0.6008, 0.6008, 0.7770)
Sm (0.8989, 0.8989, 0.7411)
Te (0.2468, 0.2468, 0.7442)
Te (0.7532, 0.7532, 0.2558)
H (0.5000, 0.5000, 0.0000)

[11]
First-principles (PBE) data for a relaxed Sm12Te3H5 crystal, as listed in Alexandria via LeMat-Bulk.

Properties
uncorrected energy: -4.623 eV/atom

a b c (Å): 13.7935 13.7935 13.7935
angles (deg): 109.47 109.47 109.47
Sites, in units of the cell vectors:
Sm (0.0133, 0.2060, 0.1102)
Sm (0.0133, 0.3073, 0.9031)
Sm (0.0958, 0.7060, 0.6927)
Sm (0.0958, 0.8898, 0.4031)
Sm (0.0969, 0.6102, 0.4042)
Sm (0.0969, 0.9867, 0.6927)
Sm (0.1102, 0.0133, 0.2060)
Sm (0.1102, 0.5969, 0.9042)
Sm (0.1927, 0.2060, 0.5958)
Sm (0.1927, 0.4867, 0.5969)
Sm (0.2060, 0.1102, 0.0133)
Sm (0.2060, 0.5958, 0.1927)
Sm (0.2940, 0.3073, 0.9042)
Sm (0.2940, 0.4867, 0.3898)
Sm (0.3073, 0.9031, 0.0133)
Sm (0.3073, 0.9042, 0.2940)
Sm (0.3898, 0.2940, 0.4867)
Sm (0.3898, 0.5958, 0.9031)
Sm (0.4031, 0.0958, 0.8898)
Sm (0.4031, 0.8073, 0.5133)
Sm (0.4042, 0.0969, 0.6102)
Sm (0.4042, 0.8073, 0.7940)
Sm (0.4867, 0.3898, 0.2940)
Sm (0.4867, 0.5969, 0.1927)
Sm (0.5133, 0.4031, 0.8073)
Sm (0.5133, 0.6102, 0.7060)
Sm (0.5958, 0.1927, 0.2060)
Sm (0.5958, 0.9031, 0.3898)
Sm (0.5969, 0.1927, 0.4867)
Sm (0.5969, 0.9042, 0.1102)
Sm (0.6102, 0.4042, 0.0969)
Sm (0.6102, 0.7060, 0.5133)
Sm (0.6927, 0.0958, 0.7060)
Sm (0.6927, 0.0969, 0.9867)
Sm (0.7060, 0.5133, 0.6102)
Sm (0.7060, 0.6927, 0.0958)
Sm (0.7940, 0.4042, 0.8073)
Sm (0.7940, 0.8898, 0.9867)
Sm (0.8073, 0.5133, 0.4031)
Sm (0.8073, 0.7940, 0.4042)
Sm (0.8898, 0.4031, 0.0958)
Sm (0.8898, 0.9867, 0.7940)
Sm (0.9031, 0.0133, 0.3073)
Sm (0.9031, 0.3898, 0.5958)
Sm (0.9042, 0.1102, 0.5969)
Sm (0.9042, 0.2940, 0.3073)
Sm (0.9867, 0.6927, 0.0969)
Sm (0.9867, 0.7940, 0.8898)
Te (0.1250, 0.2500, 0.3750)
Te (0.1250, 0.3750, 0.7500)
Te (0.2500, 0.3750, 0.1250)
Te (0.2500, 0.8750, 0.6250)
Te (0.3750, 0.1250, 0.2500)
Te (0.3750, 0.7500, 0.1250)
Te (0.6250, 0.2500, 0.8750)
Te (0.6250, 0.8750, 0.7500)
Te (0.7500, 0.1250, 0.3750)
Te (0.7500, 0.6250, 0.8750)
Te (0.8750, 0.6250, 0.2500)
Te (0.8750, 0.7500, 0.6250)
H (0.0000, 0.0000, 0.0000)
H (0.0000, 0.0000, 0.5000)
H (0.0000, 0.5000, 0.0000)
H (0.0000, 0.5000, 0.5000)
H (0.1250, 0.7500, 0.8750)
H (0.1250, 0.8750, 0.2500)
H (0.2500, 0.1250, 0.8750)
H (0.2500, 0.6250, 0.3750)
H (0.3750, 0.2500, 0.6250)
H (0.3750, 0.6250, 0.7500)
H (0.5000, 0.0000, 0.0000)
H (0.5000, 0.0000, 0.5000)
H (0.5000, 0.5000, 0.0000)
H (0.5000, 0.5000, 0.5000)
H (0.6250, 0.3750, 0.2500)
H (0.6250, 0.7500, 0.3750)
H (0.7500, 0.3750, 0.6250)
H (0.7500, 0.8750, 0.1250)
H (0.8750, 0.1250, 0.7500)
H (0.8750, 0.2500, 0.1250)

[12]
First-principles (PBE) data for a relaxed Sm2Te3H crystal, as listed in Alexandria via LeMat-Bulk.

Properties
uncorrected energy: -4.807 eV/atom

a b c (Å): 11.8230 4.1386 12.8858
angles (deg): 90.00 90.00 90.00
Sites, in units of the cell vectors:
Sm (0.0575, 0.2500, 0.1739)
Sm (0.2006, 0.2500, 0.5170)
Sm (0.2994, 0.7500, 0.0170)
Sm (0.4425, 0.7500, 0.6739)
Sm (0.5575, 0.2500, 0.3261)
Sm (0.7006, 0.2500, 0.9830)
Sm (0.7994, 0.7500, 0.4830)
Sm (0.9425, 0.7500, 0.8261)
Te (0.0638, 0.7500, 0.3738)
Te (0.1158, 0.2500, 0.9338)
Te (0.1778, 0.7500, 0.6979)
Te (0.3222, 0.2500, 0.1979)
Te (0.3842, 0.7500, 0.4338)
Te (0.4362, 0.2500, 0.8738)
Te (0.5638, 0.7500, 0.1262)
Te (0.6158, 0.2500, 0.5662)
Te (0.6778, 0.7500, 0.8021)
Te (0.8222, 0.2500, 0.3021)
Te (0.8842, 0.7500, 0.0662)
Te (0.9362, 0.2500, 0.6262)
H (0.1379, 0.7500, 0.1218)
H (0.3621, 0.2500, 0.6218)
H (0.6379, 0.7500, 0.3782)
H (0.8621, 0.2500, 0.8782)